DFT (GGA-PBE) results for InRe after structural relaxation.

Summary:
The value obtained for the formation energy is 0.7129 eV/atom. As for the polymorph energy (0 for the lowest one): 0.516 eV/atom. The value obtained for the density of states at the Fermi level is 0.881 states/eV/atom.

Unit cell a=4.957 b=4.957 c=4.957 alpha=34.73 beta=34.73 gamma=34.73
Atoms (fractional coordinates):
In 0.000 0.000 0.000
Re 0.500 0.500 0.500

DFT (GGA-PBE) results for InRe2 after structural relaxation.

Summary:
The value obtained for the formation energy is 2.0024 eV/atom. The value obtained for the density of states at the Fermi level is 1.828 states/eV/atom.

Unit cell a=4.697 b=4.697 c=2.750 alpha=90.00 beta=90.00 gamma=90.00
Atoms (fractional coordinates):
In 0.000 0.000 0.000
Re 0.000 0.500 0.500
Re 0.500 0.000 0.500

DFT (GGA-PBE) results for InRe after structural relaxation.

Summary:
The value obtained for the formation energy is 0.4692 eV/atom. As for the polymorph energy (0 for the lowest one): 0.273 eV/atom. The value obtained for the density of states at the Fermi level is 0.618 states/eV/atom.

Unit cell a=6.239 b=6.900 c=7.485 alpha=90.00 beta=90.00 gamma=90.00
Atoms (fractional coordinates):
In 0.086 0.317 0.517
In 0.586 0.183 0.483
In 0.914 0.817 0.983
In 0.414 0.683 0.017
In 0.197 0.921 0.314
In 0.697 0.579 0.686
In 0.803 0.421 0.186
In 0.303 0.079 0.814
Re 0.715 0.824 0.327
Re 0.215 0.676 0.673
Re 0.285 0.324 0.173
Re 0.785 0.176 0.827
Re 0.430 0.568 0.395
Re 0.930 0.932 0.605
Re 0.570 0.068 0.105
Re 0.070 0.432 0.895

DFT (GGA-PBE) results for In5Re after structural relaxation.

Summary:
The value obtained for the formation energy is 0.9908 eV/atom. As for the polymorph energy (0 for the lowest one): 0.659 eV/atom. The value obtained for the density of states at the Fermi level is 0.660 states/eV/atom.

Unit cell a=5.673 b=5.673 c=5.783 alpha=90.00 beta=90.00 gamma=120.00
Atoms (fractional coordinates):
In 0.333 0.667 0.000
In 0.667 0.333 0.000
In 0.500 0.000 0.500
In 0.000 0.500 0.500
In 0.500 0.500 0.500
Re 0.000 0.000 0.000

DFT (GGA-PBE) results for InRe after structural relaxation.

Summary:
The value obtained for the formation energy is 0.5428 eV/atom. As for the polymorph energy (0 for the lowest one): 0.346 eV/atom. The value obtained for the density of states at the Fermi level is 0.658 states/eV/atom.

Unit cell a=9.797 b=9.797 c=3.292 alpha=90.00 beta=90.00 gamma=90.00
Atoms (fractional coordinates):
In 0.785 0.689 0.500
In 0.215 0.311 0.500
In 0.311 0.785 0.500
In 0.689 0.215 0.500
In 0.960 0.207 0.000
In 0.040 0.793 0.000
In 0.793 0.960 0.000
In 0.207 0.040 0.000
Re 0.893 0.430 0.500
Re 0.107 0.570 0.500
Re 0.570 0.893 0.500
Re 0.430 0.107 0.500
Re 0.683 0.465 0.000
Re 0.317 0.535 0.000
Re 0.535 0.683 0.000
Re 0.465 0.317 0.000

DFT (GGA-PBE) results for InRe2 after structural relaxation.

Summary:
The value obtained for the formation energy is 0.9994 eV/atom. The value obtained for the density of states at the Fermi level is 1.116 states/eV/atom.

Unit cell a=8.260 b=8.260 c=8.260 alpha=152.43 beta=152.43 gamma=39.38
Atoms (fractional coordinates):
In 0.000 0.000 0.000
In 0.750 0.250 0.500
Re 0.581 0.581 0.000
Re 0.169 0.669 0.500
Re 0.419 0.419 0.000
Re 0.331 0.831 0.500

DFT (GGA-PBE) results for In2Re3 after structural relaxation.

Summary:
The value obtained for the formation energy is 0.4692 eV/atom. The value obtained for the density of states at the Fermi level is 0.942 states/eV/atom.

Unit cell a=2.899 b=2.899 c=11.772 alpha=90.00 beta=90.00 gamma=120.00
Atoms (fractional coordinates):
In 0.667 0.333 0.206
In 0.333 0.667 0.794
Re 0.000 0.000 0.000
Re 0.667 0.333 0.586
Re 0.333 0.667 0.414

DFT (GGA-PBE) results for InRe5 after structural relaxation.

Summary:
The value obtained for the formation energy is 0.2870 eV/atom. As for the polymorph energy (0 for the lowest one): 0.026 eV/atom. The value obtained for the density of states at the Fermi level is 0.789 states/eV/atom.

Unit cell a=4.855 b=4.855 c=4.582 alpha=90.00 beta=90.00 gamma=120.00
Atoms (fractional coordinates):
In 0.000 0.000 0.500
Re 0.662 0.000 0.000
Re 0.338 0.338 0.000
Re 0.000 0.662 0.000
Re 0.667 0.333 0.500
Re 0.333 0.667 0.500